1.
DFT (PBE) results for a relaxed GeAs2BrF crystal.

Properties
* offset from the most stable computed form: 701.6 meV/atom
* final energy: -2.59 eV per atom
* ΔE_f (raw): 0.90 eV/atom
* DOS(E_F): 4.26 states/eV/f.u.

Unit cell a=5.1033 b=5.1033 c=5.2811 alpha=90.00 beta=90.00 gamma=90.00
With the nearest neighbours (Å) after each atom.
Space group P4/mmm (No. 123)
Unique sites:
Ge  0.0000  0.0000  0.0000 x1  2 Br 2.64
As  0.0000  0.5000  0.5000 x2  2 Br 2.55
Br  0.0000  0.0000  0.5000 x1  4 As 2.55, 2 Ge 2.64
F  0.5000  0.5000  0.0000 x1  4 Ge 3.61, 8 As 3.67

=====

2.
DFT (PBE) results for a relaxed GeAsBr2F crystal.

Properties
* offset from the most stable computed form: 0.0 meV/atom
* final energy: -2.87 eV per atom
* ΔE_f (raw): 0.03 eV/atom
* DOS(E_F): 3.03 states/eV/f.u.

Unit cell a=5.5647 b=5.5647 c=3.8963 alpha=90.00 beta=90.00 gamma=90.00
With the nearest neighbours (Å) after each atom.
Space group P4/mmm (No. 123)
Unique sites:
Ge  0.0000  0.0000  0.0000 x1  8 Br 3.40
As  0.5000  0.5000  0.0000 x1  2 F 1.95
Br  0.0000  0.5000  0.5000 x2  2 F 2.78
F  0.5000  0.5000  0.5000 x1  2 As 1.95

=====

3.
DFT (PBE) results for a relaxed GeAsBr2F crystal.

Properties
* offset from the most stable computed form: 125.6 meV/atom
* final energy: -2.75 eV per atom
* ΔE_f (raw): 0.15 eV/atom
* DOS(E_F): 5.71 states/eV/f.u.

Unit cell a=5.1266 b=5.1266 c=5.2401 alpha=90.00 beta=90.00 gamma=90.00
With the nearest neighbours (Å) after each atom.
Space group P4/mmm (No. 123)
Unique sites:
Ge  0.0000  0.0000  0.0000 x1  4 Br 2.56, 2 As 2.62
As  0.0000  0.0000  0.5000 x1  2 Ge 2.62
Br  0.0000  0.5000  0.0000 x2  2 Ge 2.56
F  0.5000  0.5000  0.5000 x1  4 As 3.63, 8 Br 3.67

=====

4.
DFT (PBE) results for a relaxed GeAs2BrF crystal.

Properties
* offset from the most stable computed form: 0.0 meV/atom
* final energy: -3.29 eV per atom
* ΔE_f (raw): 0.20 eV/atom
* DOS(E_F): 3.02 states/eV/f.u.

Unit cell a=4.3341 b=4.3341 c=5.8555 alpha=90.00 beta=90.00 gamma=90.00
With the nearest neighbours (Å) after each atom.
Space group P4/mmm (No. 123)
Unique sites:
Ge  0.0000  0.0000  0.0000 x1  4 Br 3.06
As  0.0000  0.5000  0.5000 x2  2 F 2.17
Br  0.5000  0.5000  0.0000 x1  2 F 2.93, 4 Ge 3.06
F  0.5000  0.5000  0.5000 x1  4 As 2.17

=====

5.
DFT (PBE) results for a relaxed GeAs2BrF crystal.

Properties
* offset from the most stable computed form: 231.1 meV/atom
* final energy: -3.06 eV per atom
* ΔE_f (raw): 0.43 eV/atom
* DOS(E_F): 5.05 states/eV/f.u.

Unit cell a=5.0252 b=5.0252 c=5.1512 alpha=90.00 beta=90.00 gamma=90.00
With the nearest neighbours (Å) after each atom.
Space group P4/mmm (No. 123)
Unique sites:
Ge  0.0000  0.0000  0.0000 x1  4 As 2.51, 2 Br 2.58
As  0.0000  0.5000  0.0000 x2  2 Ge 2.51
Br  0.0000  0.0000  0.5000 x1  2 Ge 2.58
F  0.5000  0.5000  0.5000 x1  4 Br 3.55, 8 As 3.60

=====

6.
DFT (PBE) results for a relaxed HfAs2BrF crystal.

Properties
* offset from the most stable computed form: 0.0 meV/atom
* final energy: -4.74 eV per atom
* ΔE_f (raw): -0.18 eV/atom
* DOS(E_F): 4.75 states/eV/f.u.

Unit cell a=5.1741 b=5.1741 c=5.1570 alpha=90.00 beta=90.00 gamma=90.00
With the nearest neighbours (Å) after each atom.
Space group P4/mmm (No. 123)
Unique sites:
Hf  0.0000  0.0000  0.0000 x1  2 Br 2.58, 4 As 2.59
As  0.0000  0.5000  0.0000 x2  2 Hf 2.59
Br  0.0000  0.0000  0.5000 x1  2 Hf 2.58
F  0.5000  0.5000  0.5000 x1  8 As 3.65, 4 Br 3.66

=====

7.
DFT (PBE) results for a relaxed HfAs2BrF crystal.

Properties
* offset from the most stable computed form: 138.1 meV/atom
* final energy: -4.60 eV per atom
* ΔE_f (raw): -0.04 eV/atom
* DOS(E_F): 2.03 states/eV/f.u.

Unit cell a=4.3290 b=4.3290 c=5.1575 alpha=90.00 beta=90.00 gamma=90.00
With the nearest neighbours (Å) after each atom.
Space group P4/mmm (No. 123)
Unique sites:
Hf  0.0000  0.0000  0.0000 x1  4 Br 3.06, 8 As 3.37
As  0.0000  0.5000  0.5000 x2  2 F 2.16
Br  0.5000  0.5000  0.0000 x1  2 F 2.58
F  0.5000  0.5000  0.5000 x1  4 As 2.16

=====

8.
DFT (PBE) results for a relaxed HgAsBr2F crystal.

Properties
* offset from the most stable computed form: 0.0 meV/atom
* final energy: -2.11 eV per atom
* ΔE_f (raw): -0.08 eV/atom
* DOS(E_F): 3.42 states/eV/f.u.

Unit cell a=5.7958 b=5.7958 c=3.8828 alpha=90.00 beta=90.00 gamma=90.00
With the nearest neighbours (Å) after each atom.
Space group P4/mmm (No. 123)
Unique sites:
Hg  0.0000  0.0000  0.0000 x1  8 Br 3.49, 2 Hg 3.88
As  0.5000  0.5000  0.0000 x1  2 F 1.94
Br  0.0000  0.5000  0.5000 x2  2 F 2.90
F  0.5000  0.5000  0.5000 x1  2 As 1.94